DFT (GGA-PBE) results for an optimized crystal structure of AsRhF2.

Summary:
Magnetization (μB/f.u.): 1.60
Formation energy from raw total energies (eV per formula unit): -2.51
E (eV per formula unit): -18.25

```
data_AsRhF2
_chemical_formula_sum 'As3 Rh3 F6'
_cell_length_a 2.7955
_cell_length_b 2.7955
_cell_length_c 25.4796
_cell_angle_alpha 90.00
_cell_angle_beta 90.00
_cell_angle_gamma 120.00
_symmetry_space_group_name_H-M 'R -3 m'
_symmetry_Int_Tables_number 166
_symmetry_space_group_name_Hall '-R 3 2"'
loop_
_atom_site_label
_atom_site_type_symbol
_atom_site_fract_x
_atom_site_fract_y
_atom_site_fract_z
As1 As 0.0000 0.0000 0.0000
Rh1 Rh 0.0000 0.0000 0.5000
F1 F 0.0000 0.0000 0.0745
```